No. 1
LiCdTeI2 | PBEsol | optimized geometry

Unit cell a=5.244 b=5.295 c=5.295 alpha=90.00 beta=90.00 gamma=90.00
Element x y z (fractional)
Te 0.500 0.000 0.000
I 0.000 0.500 0.000
Cd 0.500 0.500 0.500
I 0.000 0.000 0.500
Li 0.000 0.000 0.000

Properties
Its total magnetization is 0.00 μB/f.u. The calculation puts the uncorrected formation energy at -8 meV/atom. Its space group is No. 123.

***

No. 2
MgCdSb2I | PBEsol | optimized geometry

Unit cell a=5.432 b=5.432 c=5.455 alpha=90.00 beta=90.00 gamma=90.00
Element x y z (fractional)
Mg 0.000 0.000 0.000
Sb 0.000 0.500 0.000
Cd 0.500 0.500 0.500
I 0.000 0.000 0.500
Sb 0.500 0.000 0.000

Properties
Its total magnetization is 0.00 μB/f.u. The calculation puts the uncorrected formation energy at 423 meV/atom. Its space group is No. 123.

***

No. 3
MgTa2CdI | PBEsol | optimized geometry

Unit cell a=5.000 b=5.000 c=5.428 alpha=90.00 beta=90.00 gamma=90.00
Element x y z (fractional)
Ta 0.500 0.000 0.000
Mg 0.500 0.500 0.500
I 0.000 0.000 0.000
Ta 0.000 0.500 0.000
Cd 0.000 0.000 0.500

Properties
Its total magnetization is 0.00 μB/f.u. The calculation puts the uncorrected formation energy at 1825 meV/atom. Its space group is No. 123.

***

No. 4
Mg2CdTeI | PBEsol | optimized geometry

Unit cell a=5.704 b=5.704 c=5.816 alpha=90.00 beta=90.00 gamma=90.00
Element x y z (fractional)
I 0.000 0.000 0.000
Cd 0.500 0.500 0.500
Te 0.000 0.000 0.500
Mg 0.500 0.000 0.000
Mg 0.000 0.500 0.000

Properties
Its total magnetization is 0.00 μB/f.u. The calculation puts the uncorrected formation energy at 535 meV/atom. Its space group is No. 123.

***

No. 5
ScMn2CdI | PBEsol | optimized geometry

Unit cell a=4.708 b=4.708 c=5.624 alpha=90.00 beta=90.00 gamma=90.00
Last column: magnetic moment on the atom in μB.
Element x y z (fractional)
Sc 0.500 0.500 0.500  -0.55
Mn 0.000 0.500 0.000  3.10
Mn 0.500 0.000 0.000  3.10
Cd 0.000 0.000 0.500  -0.03
I 0.000 0.000 0.000  -0.07

Properties
Its total magnetization is 5.12 μB/f.u. The calculation puts the uncorrected formation energy at 1231 meV/atom. Its space group is No. 123.

***

No. 6
SrMn2CdI | PBEsol | optimized geometry

Unit cell a=6.058 b=6.031 c=6.031 alpha=90.00 beta=90.00 gamma=90.00
Last column: magnetic moment on the atom in μB.
Element x y z (fractional)
Cd 0.500 0.500 0.500  0.01
I 0.500 0.000 0.000  0.03
Mn 0.000 0.500 0.000  4.24
Sr 0.000 0.000 0.000  -0.08
Mn 0.000 0.000 0.500  4.24

Properties
Its total magnetization is 9.11 μB/f.u. The calculation puts the uncorrected formation energy at 1258 meV/atom. Its space group is No. 123.

***

No. 7
CdIN3 | PBEsol | optimized geometry

Unit cell a=3.985 b=3.985 c=3.985 alpha=90.00 beta=90.00 gamma=90.00
Element x y z (fractional)
N 0.500 0.000 0.000
Cd 0.500 0.500 0.500
I 0.000 0.000 0.000
N 0.000 0.500 0.000
N 0.000 0.000 0.500

Properties
Its total magnetization is 0.00 μB/f.u. The calculation puts the uncorrected formation energy at 1863 meV/atom. Its space group is No. 221.

***

No. 8
CdI2N2 | PBEsol | optimized geometry

Unit cell a=4.098 b=4.098 c=7.360 alpha=90.00 beta=90.00 gamma=90.00
Element x y z (fractional)
I 0.000 0.000 0.500
N 0.000 0.500 0.000
N 0.500 0.000 0.000
I 0.000 0.000 0.000
Cd 0.500 0.500 0.500

Properties
Its total magnetization is 0.00 μB/f.u. The calculation puts the uncorrected formation energy at 1510 meV/atom. Its space group is No. 123.

***

No. 9
Cd3IN | PBEsol | optimized geometry

Unit cell a=6.335 b=6.335 c=6.335 alpha=90.00 beta=90.00 gamma=90.00
Last column: magnetic moment on the atom in μB.
Element x y z (fractional)
Cd 0.500 0.000 0.000  -0.01
Cd 0.000 0.500 0.000  -0.01
N 0.500 0.500 0.500  1.80
Cd 0.000 0.000 0.500  -0.01
I 0.000 0.000 0.000  -0.09

Properties
Its total magnetization is 2.55 μB/f.u. The calculation puts the uncorrected formation energy at 1611 meV/atom. Its space group is No. 221.

***

No. 10
NaCdIN2 | PBEsol | optimized geometry

Unit cell a=4.392 b=4.392 c=6.281 alpha=90.00 beta=90.00 gamma=90.00
Last column: magnetic moment on the atom in μB.
Element x y z (fractional)
Cd 0.000 0.000 0.000  0.04
N 0.000 0.500 0.000  1.19
Na 0.500 0.500 0.500  0.00
N 0.500 0.000 0.000  1.19
I 0.000 0.000 0.500  0.08

Properties
Its total magnetization is 3.68 μB/f.u. The calculation puts the uncorrected formation energy at 1068 meV/atom. Its space group is No. 123.

***

No. 11
CdI2NO | PBEsol | optimized geometry

Unit cell a=3.908 b=5.117 c=5.117 alpha=90.00 beta=90.00 gamma=90.00
Last column: magnetic moment on the atom in μB.
Element x y z (fractional)
N 0.500 0.000 0.000  1.23
Cd 0.500 0.500 0.500  0.00
O 0.000 0.000 0.000  0.02
I 0.000 0.500 0.000  0.05
I 0.000 0.000 0.500  0.05

Properties
Its total magnetization is 1.92 μB/f.u. The calculation puts the uncorrected formation energy at 1104 meV/atom. Its space group is No. 123.

***

No. 12
CdPbI2N | PBEsol | optimized geometry

Unit cell a=4.100 b=6.008 c=6.008 alpha=90.00 beta=90.00 gamma=90.00
Last column: magnetic moment on the atom in μB.
Element x y z (fractional)
Cd 0.000 0.000 0.000  0.02
N 0.500 0.000 0.000  0.94
Pb 0.500 0.500 0.500  -0.04
I 0.000 0.500 0.000  0.04
I 0.000 0.000 0.500  0.04

Properties
The calculation puts the energy relative to the lowest polymorph listed for this composition at 0 meV/atom. Its total magnetization is 1.40 μB/f.u. The calculation puts the uncorrected formation energy at 525 meV/atom. Its space group is No. 123.